(1)
DFT (PBE) results for a relaxed KSr2As crystal.

Structure (extended XYZ):
```
4
Lattice="4.587 0.000 0.000 2.294 3.973 0.000 2.294 1.324 11.266" Properties=species:S:1:pos:R:3 pbc="T T T"
As 4.587 2.648 0.010
Sr 2.294 1.324 9.673
Sr 2.294 1.324 1.606
K 4.587 2.648 5.609
```

## Properties
calculated density: 2.34 Mg/m³
total magnetization: 0.0 Bohr magnetons per cell
calculated total energy: -2.925 eV/atom
ΔE_f: -2.589 eV per formula unit

=====

(2)
DFT (PBE) results for a relaxed BeRu crystal.

Structure (extended XYZ):
```
4
Lattice="-3.121 2.538 0.360 -2.491 0.593 -3.123 -3.770 -1.441 0.123" Properties=species:S:1:pos:R:3 pbc="T T T"
Be -8.210 1.478 -2.311
Be -1.172 0.211 -0.330
Ru -5.864 1.055 -1.650
Ru -3.518 0.633 -0.990
```

## Properties
calculated density: 7.85 Mg/m³
total magnetization: 0.0 Bohr magnetons per cell
calculated total energy: -6.510 eV/atom
ΔE_f: -0.018 eV per formula unit

=====

(3)
DFT (PBE) results for a relaxed Ce2ZrMn crystal.

Structure (extended XYZ):
```
4
Lattice="3.106 0.000 0.000 1.553 2.690 0.000 1.553 0.897 10.335" Properties=species:S:1:pos:R:3 pbc="T T T"
Ce 4.659 2.690 3.047
Ce 1.553 0.897 7.288
Mn 3.106 1.793 5.167
Zr 0.000 0.000 0.000
```

## Properties
calculated density: 8.20 Mg/m³
total magnetization: 0.3 Bohr magnetons per cell
calculated total energy: -6.941 eV/atom
ΔE_f: 1.823 eV per formula unit

=====

Question: Which value of calculated total energy does entry 3 give?
Answer: -6.941 eV/atom

=====

Question: Which of these has the highest calculated density?
Answer: Ce2ZrMn

=====

Question: The highest calculated density belongs to which entry?
Answer: Ce2ZrMn

=====

Question: Which of these has the lowest calculated density?
Answer: KSr2As